[1]
A plane-wave DFT calculation with PBE was carried out for an optimized crystal structure of Ta2NiP.

Summary:
* E_form: -0.3278 eV per atom
* mass density: 12.8 g/cm3

Lattice parameters (Å, degrees): 3.1079 4.3660 8.6275 90.00 90.00 90.00
With the nearest neighbours (Å) after each atom.
Space group Imm2 (No. 44)
One atom of each set of equivalent atoms:
Ta 0.0000 0.0000 0.0000  2 P 2.62, 4 Ni 2.73, 4 Ta 2.86-2.91
Ta 0.0000 0.5000 0.2148  4 P 2.69, 4 Ni 2.84-2.92, 4 Ta 2.86-2.91
Ni 0.0000 0.0000 0.4397  2 P 2.29
P 0.0000 0.5000 0.7448  2 Ni 2.29

[2]
A plane-wave DFT calculation with PBE was carried out for an optimized crystal structure of UCoSiH.

Summary:
* mass density: 10.6 g/cm3
* VASP energy: -7.28 eV/atom

Lattice parameters (Å, degrees): 3.9831 3.9831 3.7275 90.00 90.00 120.00
With the nearest neighbours (Å) after each atom.
Space group P3m1 (No. 156)
One atom of each set of equivalent atoms:
U 0.0000 0.0000 0.0000  3 H 2.30
Co 0.6667 0.3333 0.4213  1 H 1.71
Si 0.3333 0.6667 0.5066  3 Co 2.32
H 0.6667 0.3333 0.9639  1 Co 1.71

[3]
A plane-wave DFT calculation with PBE was carried out for an optimized crystal structure of MnTlGa2Pb.

Summary:
* E_form: 0.9842 eV per atom
* mass density: 5.6 g/cm3

Lattice parameters (Å, degrees): 5.4985 5.4985 5.9811 90.00 90.00 90.00
With the nearest neighbours (Å) after each atom.
Space group P4/mmm (No. 123)
One atom of each set of equivalent atoms:
Mn 0.0000 0.0000 0.0000  4 Tl 3.89, 8 Ga 4.06
Tl 0.5000 0.5000 0.0000  2 Pb 2.99
Ga 0.0000 0.5000 0.5000  2 Pb 2.75
Pb 0.5000 0.5000 0.5000  4 Ga 2.75, 2 Tl 2.99